(1)
CeTmIn4 | PBE | relaxed

## Properties
Energy = -23.0 eV for the cell shown
Formation enthalpy at 0 K = -0.27 eV/atom
Energy relative to the lowest polymorph listed for this composition = 0 meV/atom

Geometry as CIF:
```
data_CeTmIn4
_chemical_formula_sum 'Ce1 Tm1 In4'
_cell_length_a 6.037
_cell_length_b 6.037
_cell_length_c 6.037
_cell_angle_alpha 60.00
_cell_angle_beta 60.00
_cell_angle_gamma 60.00
_symmetry_space_group_name_H-M 'P 1'
_symmetry_Int_Tables_number 1
_symmetry_space_group_name_Hall 'P 1'
loop_
_atom_site_label
_atom_site_type_symbol
_atom_site_fract_x
_atom_site_fract_y
_atom_site_fract_z
Tm1 Tm 0.250 0.250 0.250
Ce1 Ce 0.000 0.000 0.000
In1 In 0.625 0.625 0.125
In2 In 0.625 0.125 0.625
In3 In 0.625 0.625 0.625
In4 In 0.125 0.625 0.625
```

---

(2)
CeTmIn2 | PBE | relaxed

## Properties
Energy = -17.4 eV for the cell shown
Formation enthalpy at 0 K = -0.37 eV/atom

Geometry as CIF:
```
data_CeTmIn2
_chemical_formula_sum 'Ce1 Tm1 In2'
_cell_length_a 4.543
_cell_length_b 4.871
_cell_length_c 4.871
_cell_angle_alpha 90.00
_cell_angle_beta 90.00
_cell_angle_gamma 90.00
_symmetry_space_group_name_H-M 'P 1'
_symmetry_Int_Tables_number 1
_symmetry_space_group_name_Hall 'P 1'
loop_
_atom_site_label
_atom_site_type_symbol
_atom_site_fract_x
_atom_site_fract_y
_atom_site_fract_z
Tm1 Tm 0.500 0.000 0.000
Ce1 Ce 0.500 0.500 0.500
In1 In 0.000 0.000 0.500
In2 In 0.000 0.500 0.000
```

---

(3)
CeTmIn2 | PBE | relaxed

## Properties
Energy = -16.8 eV for the cell shown
Formation enthalpy at 0 K = -0.23 eV/atom

Geometry as CIF:
```
data_CeTmIn2
_chemical_formula_sum 'Ce1 Tm1 In2'
_cell_length_a 3.538
_cell_length_b 3.538
_cell_length_c 10.546
_cell_angle_alpha 80.34
_cell_angle_beta 80.34
_cell_angle_gamma 60.00
_symmetry_space_group_name_H-M 'P 1'
_symmetry_Int_Tables_number 1
_symmetry_space_group_name_Hall 'P 1'
loop_
_atom_site_label
_atom_site_type_symbol
_atom_site_fract_x
_atom_site_fract_y
_atom_site_fract_z
Tm1 Tm 0.000 0.000 0.000
Ce1 Ce 0.500 0.500 0.500
In1 In 0.747 0.747 0.759
In2 In 0.253 0.253 0.241
```

---

(4)
Ce2TmIn9 | PBE | relaxed

## Properties
Energy = -45.8 eV for the cell shown
Formation enthalpy at 0 K = -0.40 eV/atom

Geometry as CIF:
```
data_Ce2TmIn9
_chemical_formula_sum 'Ce2 Tm1 In9'
_cell_length_a 4.681
_cell_length_b 4.681
_cell_length_c 14.008
_cell_angle_alpha 90.00
_cell_angle_beta 90.00
_cell_angle_gamma 90.00
_symmetry_space_group_name_H-M 'P 1'
_symmetry_Int_Tables_number 1
_symmetry_space_group_name_Hall 'P 1'
loop_
_atom_site_label
_atom_site_type_symbol
_atom_site_fract_x
_atom_site_fract_y
_atom_site_fract_z
Ce1 Ce 0.000 0.000 0.330
Ce2 Ce 0.000 0.000 0.670
Tm1 Tm 0.000 0.000 0.000
In1 In 0.500 0.500 0.000
In2 In 0.500 0.500 0.333
In3 In 0.500 0.500 0.667
In4 In 0.500 0.000 0.162
In5 In 0.500 0.000 0.500
In6 In 0.500 0.000 0.838
In7 In 0.000 0.500 0.162
In8 In 0.000 0.500 0.500
In9 In 0.000 0.500 0.838
```

---

(5)
Ce3Tm2In6 | PBE | relaxed

## Properties
Energy = -42.1 eV for the cell shown
Formation enthalpy at 0 K = 0.10 eV/atom

Geometry as CIF:
```
data_Ce3Tm2In6
_chemical_formula_sum 'Ce3 Tm2 In6'
_cell_length_a 5.861
_cell_length_b 5.861
_cell_length_c 11.772
_cell_angle_alpha 104.42
_cell_angle_beta 104.42
_cell_angle_gamma 90.00
_symmetry_space_group_name_H-M 'P 1'
_symmetry_Int_Tables_number 1
_symmetry_space_group_name_Hall 'P 1'
loop_
_atom_site_label
_atom_site_type_symbol
_atom_site_fract_x
_atom_site_fract_y
_atom_site_fract_z
Ce1 Ce 0.000 0.000 0.000
Ce2 Ce 0.858 0.858 0.717
Ce3 Ce 0.142 0.142 0.283
Tm1 Tm 0.426 0.426 0.851
Tm2 Tm 0.574 0.574 0.149
In1 In 0.070 0.570 0.139
In2 In 0.570 0.070 0.139
In3 In 0.930 0.430 0.861
In4 In 0.430 0.930 0.861
In5 In 0.712 0.712 0.425
In6 In 0.288 0.288 0.575
```

---

(6)
CeTm3In2 | PBE | relaxed

## Properties
Energy = -52.7 eV for the cell shown
Formation enthalpy at 0 K = -0.25 eV/atom

Geometry as CIF:
```
data_CeTm3In2
_chemical_formula_sum 'Ce2 Tm6 In4'
_cell_length_a 5.357
_cell_length_b 7.237
_cell_length_c 9.488
_cell_angle_alpha 112.46
_cell_angle_beta 106.50
_cell_angle_gamma 89.94
_symmetry_space_group_name_H-M 'P 1'
_symmetry_Int_Tables_number 1
_symmetry_space_group_name_Hall 'P 1'
loop_
_atom_site_label
_atom_site_type_symbol
_atom_site_fract_x
_atom_site_fract_y
_atom_site_fract_z
Ce1 Ce 0.000 0.500 0.000
Ce2 Ce 0.000 0.000 0.000
Tm1 Tm 0.500 0.250 0.000
Tm2 Tm 0.500 0.750 0.000
Tm3 Tm 0.824 0.074 0.647
Tm4 Tm 0.176 0.426 0.353
Tm5 Tm 0.176 0.926 0.353
Tm6 Tm 0.824 0.574 0.647
In1 In 0.344 0.344 0.688
In2 In 0.656 0.156 0.312
In3 In 0.344 0.844 0.688
In4 In 0.656 0.656 0.312
```

---

(7)
CeTmZnIn | PBE | relaxed

## Properties
Energy = -15.7 eV for the cell shown
Formation enthalpy at 0 K = -0.31 eV/atom

Geometry as CIF:
```
data_CeTmZnIn
_chemical_formula_sum 'Ce1 Tm1 Zn1 In1'
_cell_length_a 5.228
_cell_length_b 5.228
_cell_length_c 5.228
_cell_angle_alpha 60.00
_cell_angle_beta 60.00
_cell_angle_gamma 60.00
_symmetry_space_group_name_H-M 'P 1'
_symmetry_Int_Tables_number 1
_symmetry_space_group_name_Hall 'P 1'
loop_
_atom_site_label
_atom_site_type_symbol
_atom_site_fract_x
_atom_site_fract_y
_atom_site_fract_z
Zn1 Zn 0.000 0.000 0.000
Tm1 Tm 0.250 0.250 0.250
Ce1 Ce 0.750 0.750 0.750
In1 In 0.500 0.500 0.500
```

---

(8)
CeTm2Zn2In2 | PBE | relaxed

## Properties
Energy = -24.5 eV for the cell shown
Formation enthalpy at 0 K = -0.23 eV/atom

Geometry as CIF:
```
data_CeTm2Zn2In2
_chemical_formula_sum 'Ce1 Tm2 Zn2 In2'
_cell_length_a 4.721
_cell_length_b 4.721
_cell_length_c 9.495
_cell_angle_alpha 75.61
_cell_angle_beta 75.61
_cell_angle_gamma 60.00
_symmetry_space_group_name_H-M 'P 1'
_symmetry_Int_Tables_number 1
_symmetry_space_group_name_Hall 'P 1'
loop_
_atom_site_label
_atom_site_type_symbol
_atom_site_fract_x
_atom_site_fract_y
_atom_site_fract_z
Ce1 Ce 0.000 0.000 0.000
Tm1 Tm 0.129 0.129 0.614
Tm2 Tm 0.871 0.871 0.386
Zn1 Zn 0.599 0.599 0.203
Zn2 Zn 0.401 0.401 0.797
In1 In 0.742 0.742 0.774
In2 In 0.258 0.258 0.226
```

---

(9)
CeTmZrIn | PBE | relaxed

## Properties
Energy = -21.8 eV for the cell shown
Formation enthalpy at 0 K = -0.03 eV/atom

Geometry as CIF:
```
data_CeTmZrIn
_chemical_formula_sum 'Ce1 Tm1 Zr1 In1'
_cell_length_a 5.213
_cell_length_b 5.213
_cell_length_c 5.213
_cell_angle_alpha 60.00
_cell_angle_beta 60.00
_cell_angle_gamma 60.00
_symmetry_space_group_name_H-M 'P 1'
_symmetry_Int_Tables_number 1
_symmetry_space_group_name_Hall 'P 1'
loop_
_atom_site_label
_atom_site_type_symbol
_atom_site_fract_x
_atom_site_fract_y
_atom_site_fract_z
Tm1 Tm 0.750 0.750 0.750
Zr1 Zr 0.250 0.250 0.250
Ce1 Ce 0.000 0.000 0.000
In1 In 0.500 0.500 0.500
```

---

(10)
Ce3UIn12 | PBE | relaxed

## Properties
Energy = -66.8 eV for the cell shown
Formation enthalpy at 0 K = -0.30 eV/atom

Geometry as CIF:
```
data_Ce3UIn12
_chemical_formula_sum 'Ce3 U1 In12'
_cell_length_a 4.685
_cell_length_b 4.685
_cell_length_c 18.799
_cell_angle_alpha 90.00
_cell_angle_beta 90.00
_cell_angle_gamma 90.00
_symmetry_space_group_name_H-M 'P 1'
_symmetry_Int_Tables_number 1
_symmetry_space_group_name_Hall 'P 1'
loop_
_atom_site_label
_atom_site_type_symbol
_atom_site_fract_x
_atom_site_fract_y
_atom_site_fract_z
Ce1 Ce 0.000 0.000 0.248
Ce2 Ce 0.000 0.000 0.500
Ce3 Ce 0.000 0.000 0.752
U1 U 0.000 0.000 0.000
In1 In 0.500 0.500 0.000
In2 In 0.500 0.500 0.249
In3 In 0.500 0.500 0.500
In4 In 0.500 0.500 0.751
In5 In 0.500 0.000 0.123
In6 In 0.500 0.000 0.374
In7 In 0.500 0.000 0.626
In8 In 0.500 0.000 0.877
In9 In 0.000 0.500 0.123
In10 In 0.000 0.500 0.374
In11 In 0.000 0.500 0.626
In12 In 0.000 0.500 0.877
```

---

(11)
CeU2In9 | PBE | relaxed

## Properties
Energy = -54.8 eV for the cell shown
Formation enthalpy at 0 K = -0.14 eV/atom

Geometry as CIF:
```
data_CeU2In9
_chemical_formula_sum 'Ce1 U2 In9'
_cell_length_a 4.668
_cell_length_b 4.668
_cell_length_c 13.996
_cell_angle_alpha 90.00
_cell_angle_beta 90.00
_cell_angle_gamma 90.00
_symmetry_space_group_name_H-M 'P 1'
_symmetry_Int_Tables_number 1
_symmetry_space_group_name_Hall 'P 1'
loop_
_atom_site_label
_atom_site_type_symbol
_atom_site_fract_x
_atom_site_fract_y
_atom_site_fract_z
Ce1 Ce 0.000 0.000 0.000
U1 U 0.000 0.000 0.335
U2 U 0.000 0.000 0.665
In1 In 0.500 0.500 0.000
In2 In 0.500 0.500 0.334
In3 In 0.500 0.500 0.666
In4 In 0.500 0.000 0.169
In5 In 0.500 0.000 0.500
In6 In 0.500 0.000 0.831
In7 In 0.000 0.500 0.169
In8 In 0.000 0.500 0.500
In9 In 0.000 0.500 0.831
```

---

(12)
Ce2VIn | PBE | relaxed

## Properties
Energy = -22.2 eV for the cell shown
Formation enthalpy at 0 K = 0.37 eV/atom

Geometry as CIF:
```
data_Ce2VIn
_chemical_formula_sum 'Ce2 V1 In1'
_cell_length_a 3.058
_cell_length_b 3.058
_cell_length_c 11.803
_cell_angle_alpha 82.56
_cell_angle_beta 82.56
_cell_angle_gamma 60.00
_symmetry_space_group_name_H-M 'P 1'
_symmetry_Int_Tables_number 1
_symmetry_space_group_name_Hall 'P 1'
loop_
_atom_site_label
_atom_site_type_symbol
_atom_site_fract_x
_atom_site_fract_y
_atom_site_fract_z
V1 V 0.500 0.500 0.500
Ce1 Ce 0.096 0.096 0.713
Ce2 Ce 0.904 0.904 0.287
In1 In 0.000 0.000 0.000
```